The following is a PBE calculation of a relaxed structure of KAl2Cu, from the Alexandria database.

Calculated values
**Energy relative to the lowest polymorph listed for this composition**: 168 meV/atom
**Raw total energy**: -12.0 eV/cell
**Formation enthalpy at 0 K**: 0.7 eV/f.u.

The structure in CIF format:
```
data_KAl2Cu
_symmetry_space_group_name_H-M 'P 4 m m'
_symmetry_Int_Tables_number 99
_symmetry_space_group_name_Hall 'P 4 -2'
_cell_length_a 3.325
_cell_length_b 3.325
_cell_length_c 7.997
_cell_angle_alpha 90.00
_cell_angle_beta 90.00
_cell_angle_gamma 90.00
loop_
_atom_site_label
_atom_site_fract_x
_atom_site_fract_y
_atom_site_fract_z
K1 0.000 0.000 0.000
Al1 0.000 0.000 0.548
Al2 0.500 0.500 0.337
Cu1 0.500 0.500 0.661
```



The following is a PBE calculation of a relaxed structure of KAl2Cu, from the Alexandria database.

Calculated values
**Energy relative to the lowest polymorph listed for this composition**: 548 meV/atom
**Raw total energy**: -10.5 eV/cell
**Formation enthalpy at 0 K**: 2.2 eV/f.u.

The structure in CIF format:
```
data_KAl2Cu
_symmetry_space_group_name_H-M 'P 4/m m m'
_symmetry_Int_Tables_number 123
_symmetry_space_group_name_Hall '-P 4 2'
_cell_length_a 4.181
_cell_length_b 4.181
_cell_length_c 4.965
_cell_angle_alpha 90.00
_cell_angle_beta 90.00
_cell_angle_gamma 90.00
loop_
_atom_site_label
_atom_site_fract_x
_atom_site_fract_y
_atom_site_fract_z
K1 0.000 0.000 0.000
Al1 0.000 0.500 0.500
Cu1 0.500 0.500 0.000
```



The following is a PBE calculation of a relaxed structure of KAl6Cu3, from the Alexandria database.

Calculated values
**Raw total energy**: -71.2 eV/cell
**Formation enthalpy at 0 K**: 0.2 eV/f.u.

The structure in CIF format:
```
data_KAl6Cu3
_symmetry_space_group_name_H-M 'P 1 21/c 1'
_symmetry_Int_Tables_number 14
_symmetry_space_group_name_Hall '-P 2ybc'
_cell_length_a 6.962
_cell_length_b 6.517
_cell_length_c 8.533
_cell_angle_alpha 90.00
_cell_angle_beta 117.56
_cell_angle_gamma 90.00
loop_
_atom_site_label
_atom_site_fract_x
_atom_site_fract_y
_atom_site_fract_z
K1 0.000 0.000 0.000
Al1 0.140 0.018 0.677
Al2 0.292 0.675 0.880
Al3 0.460 0.184 0.268
Cu1 0.242 0.177 0.437
Cu2 0.500 0.000 0.000
```



The following is a PBE calculation of a relaxed structure of KAl2Cu, from the Alexandria database.

Calculated values
**Energy relative to the lowest polymorph listed for this composition**: 142 meV/atom
**Raw total energy**: -12.1 eV/cell
**Formation enthalpy at 0 K**: 0.6 eV/f.u.

The structure in CIF format:
```
data_KAl2Cu
_symmetry_space_group_name_H-M 'P 1 m 1'
_symmetry_Int_Tables_number 6
_symmetry_space_group_name_Hall 'P -2y'
_cell_length_a 2.837
_cell_length_b 4.147
_cell_length_c 7.719
_cell_angle_alpha 90.00
_cell_angle_beta 90.52
_cell_angle_gamma 90.00
loop_
_atom_site_label
_atom_site_fract_x
_atom_site_fract_y
_atom_site_fract_z
K1 0.000 0.000 0.000
Al1 0.509 0.500 0.328
Al2 0.514 0.000 0.570
Cu1 0.016 0.500 0.618
```



The following is a PBE calculation of a relaxed structure of KAl3Cu, from the Alexandria database.

Calculated values
**Energy relative to the lowest polymorph listed for this composition**: 1557 meV/atom
**Raw total energy**: -7.2 eV/cell
**Formation enthalpy at 0 K**: 9.2 eV/f.u.

The structure in CIF format:
```
data_KAl3Cu
_symmetry_space_group_name_H-M 'P m -3 m'
_symmetry_Int_Tables_number 221
_symmetry_space_group_name_Hall '-P 4 2 3'
_cell_length_a 5.710
_cell_length_b 5.710
_cell_length_c 5.710
_cell_angle_alpha 90.00
_cell_angle_beta 90.00
_cell_angle_gamma 90.00
loop_
_atom_site_label
_atom_site_fract_x
_atom_site_fract_y
_atom_site_fract_z
K1 0.000 0.000 0.000
Al1 0.000 0.000 0.500
Cu1 0.500 0.500 0.500
```



The following is a PBE calculation of a relaxed structure of KAl2Cu, from the Alexandria database.

Calculated values
**Energy relative to the lowest polymorph listed for this composition**: 403 meV/atom
**Raw total energy**: -22.1 eV/cell
**Formation enthalpy at 0 K**: 1.6 eV/f.u.

The structure in CIF format:
```
data_KAl2Cu
_symmetry_space_group_name_H-M 'C 1 2 1'
_symmetry_Int_Tables_number 5
_symmetry_space_group_name_Hall 'C 2y'
_cell_length_a 7.249
_cell_length_b 7.372
_cell_length_c 4.565
_cell_angle_alpha 90.00
_cell_angle_beta 128.81
_cell_angle_gamma 90.00
loop_
_atom_site_label
_atom_site_fract_x
_atom_site_fract_y
_atom_site_fract_z
K1 0.000 0.000 0.000
Al1 0.000 0.309 0.500
Al2 0.000 0.533 0.000
Cu1 0.000 0.659 0.500
```



The following is a PBE calculation of a relaxed structure of KAlCu2, from the Alexandria database.

Calculated values
**Raw total energy**: -41.6 eV/cell
**Formation enthalpy at 0 K**: 2.6 eV/f.u.

The structure in CIF format:
```
data_KAlCu2
_symmetry_space_group_name_H-M 'F -4 3 m'
_symmetry_Int_Tables_number 216
_symmetry_space_group_name_Hall 'F -4 2 3'
_cell_length_a 6.805
_cell_length_b 6.805
_cell_length_c 6.805
_cell_angle_alpha 90.00
_cell_angle_beta 90.00
_cell_angle_gamma 90.00
loop_
_atom_site_label
_atom_site_fract_x
_atom_site_fract_y
_atom_site_fract_z
K1 0.000 0.000 0.000
Al1 0.250 0.250 0.750
Cu1 0.000 0.000 0.500
Cu2 0.250 0.250 0.250
```



The following is a PBE calculation of a relaxed structure of KAlCu2, from the Alexandria database.

Calculated values
**Raw total energy**: -34.3 eV/cell
**Formation enthalpy at 0 K**: 1.6 eV/f.u.

The structure in CIF format:
```
data_KAlCu2
_symmetry_space_group_name_H-M 'R -3 m'
_symmetry_Int_Tables_number 166
_symmetry_space_group_name_Hall '-R 3 2"'
_cell_length_a 3.2640
_cell_length_b 3.2640
_cell_length_c 26.3773
_cell_angle_alpha 90.00
_cell_angle_beta 90.00
_cell_angle_gamma 120.00
loop_
_atom_site_label
_atom_site_fract_x
_atom_site_fract_y
_atom_site_fract_z
K1 0.0000 0.0000 0.0000
Al1 0.0000 0.0000 0.5000
Cu1 0.0000 0.0000 0.2292
```